{"formula": "Pr2MgAl4Ir3", "functional": "GGA-PBE", "state": "optimized geometry", "total_energy_ev_per_atom": -5.95, "magmom_total_mub_per_fu": 0.0, "sg": "No. 115", "lattice": [[4.1897, 0.0000, 0.0000], [0.0000, 4.1897, 0.0000], [0.0000, 0.0000, 11.1875]], "species": ["Pr", "Pr", "Mg", "Al", "Al", "Al", "Al", "Ir", "Ir", "Ir"], "frac_coords": [[0.0000, 0.5000, 0.2367], [0.5000, 0.0000, 0.7633], [0.0000, 0.0000, 0.5000], [0.0000, 0.0000, 0.0000], [0.0000, 0.5000, 0.6426], [0.5000, 0.0000, 0.3574], [0.5000, 0.5000, 0.0000], [0.0000, 0.5000, 0.8707], [0.5000, 0.0000, 0.1293], [0.5000, 0.5000, 0.5000]]}